# SmErSn (PBE-GGA, relaxed)
# - Calculated volume: 97.3 Å³/f.u.
# - DFT total energy: -4.82 eV/atom
data_SmErSn
_cell_length_a 7.300
_cell_length_b 7.300
_cell_length_c 7.300
_cell_angle_alpha 90.00
_cell_angle_beta 90.00
_cell_angle_gamma 90.00
_space_group_name_H-M_alt 'F -4 3 m'
_space_group_IT_number 216
_space_group_name_Hall 'F -4 2 3'
loop_
_atom_site_label
_atom_site_type_symbol
_atom_site_fract_x
_atom_site_fract_y
_atom_site_fract_z
_atom_site_occupancy
Sm1 Sm 0.000 0.000 0.000 1
Er1 Er 0.000 0.000 0.500 1
Sn1 Sn 0.250 0.250 0.750 1